First-principles (PBE) data for an optimized crystal structure of Sc6Pt3O, as listed in the Alexandria database.

total moment = 0.001 μB per cell

```
data_Sc6Pt3O
_chemical_formula_sum 'Sc12 Pt6 O2'
_cell_length_a 6.088
_cell_length_b 6.971
_cell_length_c 9.036
_cell_angle_alpha 90.00
_cell_angle_beta 83.76
_cell_angle_gamma 90.00
_symmetry_space_group_name_H-M 'P 1'
_symmetry_Int_Tables_number 1
loop_
_symmetry_equiv_pos_as_xyz
'x,y,z'
loop_
_atom_site_label
_atom_site_type_symbol
_atom_site_fract_x
_atom_site_fract_y
_atom_site_fract_z
Pt1 Pt 0.053 0.607 0.256
Sc1 Sc 0.359 0.541 0.736
O1 O 0.000 0.000 0.000
Pt2 Pt 0.447 0.107 0.244
Pt3 Pt 0.947 0.393 0.744
Sc2 Sc 0.635 0.191 0.567
Sc3 Sc 0.187 0.340 0.450
Sc4 Sc 0.141 0.041 0.764
Sc5 Sc 0.859 0.959 0.236
Sc6 Sc 0.865 0.691 0.933
Pt4 Pt 0.553 0.893 0.756
Sc7 Sc 0.641 0.459 0.264
Sc8 Sc 0.313 0.840 0.050
Sc9 Sc 0.813 0.660 0.550
Sc10 Sc 0.687 0.160 0.950
Pt5 Pt 0.500 0.500 0.000
Pt6 Pt 0.000 0.000 0.500
Sc11 Sc 0.365 0.809 0.433
O2 O 0.500 0.500 0.500
Sc12 Sc 0.135 0.309 0.067
```



First-principles (PBE) data for an optimized crystal structure of NaBiBO4, as listed in the Alexandria database.

total moment = 0.547 μB per cell

```
data_NaBiBO4
_chemical_formula_sum 'Na2 Bi2 B2 O8'
_cell_length_a 5.367
_cell_length_b 5.367
_cell_length_c 6.511
_cell_angle_alpha 90.00
_cell_angle_beta 90.00
_cell_angle_gamma 115.39
_symmetry_space_group_name_H-M 'P 1'
_symmetry_Int_Tables_number 1
loop_
_symmetry_equiv_pos_as_xyz
'x,y,z'
loop_
_atom_site_label
_atom_site_type_symbol
_atom_site_fract_x
_atom_site_fract_y
_atom_site_fract_z
Bi1 Bi 0.833 0.167 0.250
O1 O 0.242 0.758 0.418
O2 O 0.175 0.241 0.750
O3 O 0.758 0.242 0.918
O4 O 0.241 0.175 0.250
O5 O 0.759 0.825 0.750
O6 O 0.242 0.758 0.082
B1 B 0.868 0.132 0.750
Bi2 Bi 0.167 0.833 0.750
Na1 Na 0.500 0.500 0.000
O7 O 0.825 0.759 0.250
Na2 Na 0.500 0.500 0.500
O8 O 0.758 0.242 0.582
B2 B 0.132 0.868 0.250
```



First-principles (PBE) data for an optimized crystal structure of CeMg11Cu, as listed in the Alexandria database.

calculated formation energy = -20 meV/atom
total moment = 1.280 μB per cell

```
data_CeMg11Cu
_chemical_formula_sum 'Ce1 Mg11 Cu1'
_cell_length_a 5.662
_cell_length_b 7.663
_cell_length_c 7.770
_cell_angle_alpha 82.82
_cell_angle_beta 68.63
_cell_angle_gamma 69.94
_symmetry_space_group_name_H-M 'P 1'
_symmetry_Int_Tables_number 1
loop_
_symmetry_equiv_pos_as_xyz
'x,y,z'
loop_
_atom_site_label
_atom_site_type_symbol
_atom_site_fract_x
_atom_site_fract_y
_atom_site_fract_z
Mg1 Mg 0.000 0.000 0.500
Mg2 Mg 0.000 0.500 0.000
Mg3 Mg 0.353 0.642 0.656
Mg4 Mg 0.699 0.780 0.794
Mg5 Mg 0.991 0.358 0.656
Mg6 Mg 0.301 0.220 0.206
Cu1 Cu 0.500 0.500 0.000
Ce1 Ce 0.000 0.000 0.000
Mg7 Mg 0.500 0.000 0.500
Mg8 Mg 0.009 0.642 0.344
Mg9 Mg 0.493 0.780 0.206
Mg10 Mg 0.647 0.358 0.344
Mg11 Mg 0.507 0.220 0.794
```



| no. | VASP energy (eV/cell) |
| --- | --- |
| 1 | -148.626 |
| 2 | -85.736 |
| 3 | -27.834 |